# PBE Al2GaAg8, optimized geometry
data_Al2GaAg8
_space_group_name_H-M_alt 'C 1 2/m 1'
_space_group_IT_number 12
_cell_length_a 14.674
_cell_length_b 4.143
_cell_length_c 6.471
_cell_angle_alpha 90.00
_cell_angle_beta 105.20
_cell_angle_gamma 90.00
loop_
_space_group_symop_operation_xyz
'x,y,z'
'-x,-y,-z'
'-x,y,-z'
'x,-y,z'
'x+1/2,y+1/2,z'
'-x+1/2,-y+1/2,-z'
'-x+1/2,y+1/2,-z'
'x+1/2,-y+1/2,z'
loop_
_atom_site_label
_atom_site_fract_x
_atom_site_fract_y
_atom_site_fract_z
Al1 0.222 0.000 0.145
Ga1 0.000 0.500 0.500
Ag1 0.045 0.000 0.233
Ag2 0.098 0.500 0.959
Ag3 0.146 0.000 0.706
Ag4 0.180 0.500 0.421
# Energy relative to the elements (eV per atom): -0.0339
# Relative energy among the computed polymorphs (meV/atom): 0

---

# PBE Mn3C5, optimized geometry
data_Mn3C5
_space_group_name_H-M_alt 'P 1 m 1'
_space_group_IT_number 6
_cell_length_a 5.018
_cell_length_b 3.886
_cell_length_c 6.703
_cell_angle_alpha 90.00
_cell_angle_beta 97.99
_cell_angle_gamma 90.00
loop_
_space_group_symop_operation_xyz
'x,y,z'
'x,-y,z'
loop_
_atom_site_label
_atom_site_fract_x
_atom_site_fract_y
_atom_site_fract_z
Mn1 0.000 0.000 0.000
Mn2 0.027 0.500 0.442
Mn3 0.344 0.000 0.634
Mn4 0.376 0.500 0.127
Mn5 0.678 0.000 0.306
Mn6 0.706 0.500 0.800
C1 0.012 0.500 0.107
C2 0.100 0.000 0.367
C3 0.284 0.000 0.229
C4 0.435 0.500 0.551
C5 0.592 0.175 0.988
C6 0.595 0.500 0.388
C7 0.744 0.000 0.610
C8 0.989 0.194 0.711
# Energy relative to the elements (eV per atom): 0.7507
# Relative energy among the computed polymorphs (meV/atom): 0

---

# PBE RbGeTe2, optimized geometry
data_RbGeTe2
_space_group_name_H-M_alt 'P n a 21'
_space_group_IT_number 33
_cell_length_a 8.809
_cell_length_b 11.610
_cell_length_c 6.772
_cell_angle_alpha 90.00
_cell_angle_beta 90.00
_cell_angle_gamma 90.00
loop_
_space_group_symop_operation_xyz
'x,y,z'
'-x,-y,z+1/2'
'-x+1/2,y+1/2,z+1/2'
'x+1/2,-y+1/2,z'
loop_
_atom_site_label
_atom_site_fract_x
_atom_site_fract_y
_atom_site_fract_z
Rb1 0.142 0.114 0.000
Ge1 0.041 0.371 0.458
Te1 0.060 0.416 0.846
Te2 0.163 0.795 0.869
# Formation energy from raw total energies (eV/atom): -0.436

---

# PBE Li2InBiS4, optimized geometry
data_Li2InBiS4
_space_group_name_H-M_alt 'P 1 2/m 1'
_space_group_IT_number 10
_cell_length_a 6.658
_cell_length_b 3.877
_cell_length_c 6.724
_cell_angle_alpha 90.00
_cell_angle_beta 109.58
_cell_angle_gamma 90.00
loop_
_space_group_symop_operation_xyz
'x,y,z'
'-x,-y,-z'
'-x,y,-z'
'x,-y,z'
loop_
_atom_site_label
_atom_site_fract_x
_atom_site_fract_y
_atom_site_fract_z
Li1 0.000 0.000 0.000
Li2 0.000 0.500 0.500
In1 0.500 0.000 0.500
Bi1 0.500 0.500 0.000
S1 0.241 0.000 0.733
S2 0.252 0.500 0.265
# Formation energy from raw total energies (eV/atom): -0.794

---

# PBE Pm8Ir3CI4, optimized geometry
data_Pm8Ir3CI4
_space_group_name_H-M_alt 'C 1 2/m 1'
_space_group_IT_number 12
_cell_length_a 14.326
_cell_length_b 8.269
_cell_length_c 9.318
_cell_angle_alpha 90.00
_cell_angle_beta 120.88
_cell_angle_gamma 90.00
loop_
_space_group_symop_operation_xyz
'x,y,z'
'-x,-y,-z'
'-x,y,-z'
'x,-y,z'
'x+1/2,y+1/2,z'
'-x+1/2,-y+1/2,-z'
'-x+1/2,y+1/2,-z'
'x+1/2,-y+1/2,z'
loop_
_atom_site_label
_atom_site_fract_x
_atom_site_fract_y
_atom_site_fract_z
Pm1 0.021 0.237 0.325
Pm2 0.217 0.000 0.675
Pm3 0.230 0.500 0.689
Ir1 0.000 0.500 0.500
Ir2 0.250 0.250 0.500
C1 0.000 0.000 0.500
I1 0.000 0.000 0.000
I2 0.000 0.500 0.000
I3 0.250 0.250 0.000
# Formation energy from raw total energies (eV/atom): -0.855

---

# PBE LiFeSn, optimized geometry
data_LiFeSn
_space_group_name_H-M_alt 'C 1 m 1'
_space_group_IT_number 8
_cell_length_a 7.224
_cell_length_b 4.172
_cell_length_c 7.506
_cell_angle_alpha 90.00
_cell_angle_beta 108.78
_cell_angle_gamma 90.00
loop_
_space_group_symop_operation_xyz
'x,y,z'
'x,-y,z'
'x+1/2,y+1/2,z'
'x+1/2,-y+1/2,z'
loop_
_atom_site_label
_atom_site_fract_x
_atom_site_fract_y
_atom_site_fract_z
Li1 0.000 0.000 0.000
Li2 0.233 0.500 0.199
Fe1 0.189 0.000 0.566
Fe2 0.363 0.500 0.588
Sn1 0.097 0.500 0.790
Sn2 0.456 0.000 0.367
# Energy relative to the elements (eV per atom): -0.0516

---

# PBE SrPrMgRuO6, optimized geometry
data_SrPrMgRuO6
_space_group_name_H-M_alt 'P 1 c 1'
_space_group_IT_number 7
_cell_length_a 5.591
_cell_length_b 5.686
_cell_length_c 9.689
_cell_angle_alpha 90.00
_cell_angle_beta 125.12
_cell_angle_gamma 90.00
loop_
_space_group_symop_operation_xyz
'x,y,z'
'x,-y,z+1/2'
loop_
_atom_site_label
_atom_site_fract_x
_atom_site_fract_y
_atom_site_fract_z
Sr1 0.000 0.215 0.000
Pr1 0.517 0.300 0.499
Mg1 0.257 0.244 0.750
Ru1 0.757 0.248 0.250
O1 0.087 0.235 0.494
O2 0.448 0.273 0.007
O3 0.513 0.050 0.293
O4 0.582 0.477 0.790
O5 0.909 0.037 0.706
O6 0.993 0.464 0.214
# Formation energy from raw total energies (eV/atom): -2.354

---

# PBE Dy4Al3Ni, optimized geometry
data_Dy4Al3Ni
_space_group_name_H-M_alt 'P 4/m m m'
_space_group_IT_number 123
_space_group_name_Hall '-P 4 2'
_cell_length_a 3.491
_cell_length_b 3.491
_cell_length_c 14.663
_cell_angle_alpha 90.00
_cell_angle_beta 90.00
_cell_angle_gamma 90.00
loop_
_atom_site_label
_atom_site_fract_x
_atom_site_fract_y
_atom_site_fract_z
Dy1 0.000 0.000 0.110
Dy2 0.000 0.000 0.369
Al1 0.500 0.500 0.241
Al2 0.500 0.500 0.500
Ni1 0.500 0.500 0.000
# Energy relative to the elements (eV per atom): -0.3947

---

Mass density readings, ordered: 8630; 5770; 3964; 4731; 7909; 5628; 5931; 7339 kg/m3
Total energy readings, ordered: -67.39; -135.25; -54.45; -33.31; -187.39; -58.14; -141.23; -38.58 eV per cell